(1)
PmPr4Al: optimized geometry, PBE-GGA.

```
PmPr4Al
1.0
4.5577 -7.1207 0.0000
4.5577 7.1207 0.0000
-2.1436 0.0000 6.1129
Pm Pr Al
2 8 2
Cartesian
2.9500 5.7933 4.5847
4.0218 -5.7933 1.5282
0.1386 1.5669 5.3381
2.6689 2.5901 2.7523
1.2104 -1.5669 2.2816
5.3746 2.5901 0.3042
1.5972 -2.5901 5.8087
5.7614 1.5669 3.8313
4.3029 -2.5901 3.3606
6.8332 -1.5669 0.7748
4.0218 -0.0019 1.5282
2.9500 0.0019 4.5847
```

The formation energy is -0.03 eV per atom. The distance to the lowest polymorph of the same formula is 0.059 eV per atom. As for the spin magnetization: 0.0 Bohr magnetons per cell.

=====

(2)
La12Nd6Cd: optimized geometry, PBE-GGA.

```
La12Nd6Cd
1.0
6.8125 3.9332 4.3032
-6.8125 3.9332 4.3032
0.0000 -7.8664 4.3032
La Nd Cd
12 6 1
Cartesian
-1.7659 -4.7912 4.3064
-2.8156 -1.6224 5.7299
-3.2664 3.9249 4.3064
-5.0323 -0.8663 8.6031
-0.0028 -3.2495 7.1796
-2.8128 1.6272 7.1796
2.8128 -1.6272 5.7299
0.0028 3.2495 5.7299
5.0323 0.8663 4.3064
3.2664 -3.9249 8.6031
2.8156 1.6224 7.1796
1.7659 4.7912 8.6031
-1.8347 1.0509 2.9342
0.0072 -2.1143 2.9342
1.8275 1.0634 2.9342
-1.8275 -1.0634 9.9753
-0.0072 2.1143 9.9753
1.8347 -1.0510 9.9753
0.0000 0.0000 0.0000
```

The formation energy is 0.09 eV per atom. As for the spin magnetization: 0.0 Bohr magnetons per cell.